# Sr2MoP PBE optimized geometry
# * formation enthalpy at 0 K: 0.542 eV per atom
data_Sr2MoP
_chemical_formula_sum 'Sr4 Mo2 P2'
_space_group_name_H-M_alt 'I -4 m 2'
_space_group_IT_number 119
_space_group_name_Hall 'I -4 -2'
_cell_length_a 4.532
_cell_length_b 4.532
_cell_length_c 10.605
_cell_angle_alpha 90.00
_cell_angle_beta 90.00
_cell_angle_gamma 90.00
loop_
_atom_site_label
_atom_site_type_symbol
_atom_site_fract_x
_atom_site_fract_y
_atom_site_fract_z
Sr1 Sr 0.000 0.000 0.000
Sr2 Sr 0.000 0.500 0.250
Mo1 Mo 0.000 0.500 0.750
P1 P 0.000 0.000 0.500



# Sr2MoP PBE optimized geometry
# * formation enthalpy at 0 K: -0.058 eV per atom
data_Sr2MoP
_chemical_formula_sum 'Sr2 Mo1 P1'
_space_group_name_H-M_alt 'P 4 m m'
_space_group_IT_number 99
_cell_length_a 3.433
_cell_length_b 3.433
_cell_length_c 9.047
_cell_angle_alpha 90.00
_cell_angle_beta 90.00
_cell_angle_gamma 90.00
loop_
_space_group_symop_operation_xyz
'x,y,z'
'-y,x,z'
'-x,-y,z'
'y,-x,z'
'-x,y,z'
'y,x,z'
'x,-y,z'
'-y,-x,z'
loop_
_atom_site_label
_atom_site_type_symbol
_atom_site_fract_x
_atom_site_fract_y
_atom_site_fract_z
Sr1 Sr 0.000 0.000 0.000
Sr2 Sr 0.500 0.500 0.415
Mo1 Mo 0.000 0.000 0.670
P1 P 0.500 0.500 0.763



# SrMo4P PBE optimized geometry
# * formation enthalpy at 0 K: 0.782 eV per atom
data_SrMo4P
_chemical_formula_sum 'Sr4 Mo16 P4'
_space_group_name_H-M_alt 'F -4 3 m'
_space_group_IT_number 216
_space_group_name_Hall 'F -4 2 3'
_cell_length_a 7.664
_cell_length_b 7.664
_cell_length_c 7.664
_cell_angle_alpha 90.00
_cell_angle_beta 90.00
_cell_angle_gamma 90.00
loop_
_atom_site_label
_atom_site_type_symbol
_atom_site_fract_x
_atom_site_fract_y
_atom_site_fract_z
Sr1 Sr 0.000 0.000 0.000
Mo1 Mo 0.122 0.122 0.622
P1 P 0.250 0.250 0.250



# SrMoP2 PBE optimized geometry
# * formation enthalpy at 0 K: -0.129 eV per atom
data_SrMoP2
_chemical_formula_sum 'Sr2 Mo2 P4'
_space_group_name_H-M_alt 'I m m m'
_space_group_IT_number 71
_space_group_name_Hall '-I 2 2'
_cell_length_a 3.831
_cell_length_b 5.908
_cell_length_c 7.624
_cell_angle_alpha 90.00
_cell_angle_beta 90.00
_cell_angle_gamma 90.00
loop_
_atom_site_label
_atom_site_type_symbol
_atom_site_fract_x
_atom_site_fract_y
_atom_site_fract_z
Sr1 Sr 0.000 0.000 0.000
Mo1 Mo 0.000 0.000 0.500
P1 P 0.000 0.500 0.199



# SrMoP2 PBE optimized geometry
# * formation enthalpy at 0 K: 0.013 eV per atom
data_SrMoP2
_chemical_formula_sum 'Sr4 Mo4 P8'
_space_group_name_H-M_alt 'F m -3 m'
_space_group_IT_number 225
_space_group_name_Hall '-F 4 2 3'
_cell_length_a 6.657
_cell_length_b 6.657
_cell_length_c 6.657
_cell_angle_alpha 90.00
_cell_angle_beta 90.00
_cell_angle_gamma 90.00
loop_
_atom_site_label
_atom_site_type_symbol
_atom_site_fract_x
_atom_site_fract_y
_atom_site_fract_z
Sr1 Sr 0.000 0.000 0.000
Mo1 Mo 0.000 0.000 0.500
P1 P 0.250 0.250 0.250



# SrMo6P8 PBE optimized geometry
# * formation enthalpy at 0 K: -0.443 eV per atom
data_SrMo6P8
_chemical_formula_sum 'Sr1 Mo6 P8'
_space_group_name_H-M_alt 'P -1'
_space_group_IT_number 2
_cell_length_a 6.190
_cell_length_b 6.537
_cell_length_c 6.702
_cell_angle_alpha 91.15
_cell_angle_beta 98.43
_cell_angle_gamma 95.81
loop_
_space_group_symop_operation_xyz
'x,y,z'
'-x,-y,-z'
loop_
_atom_site_label
_atom_site_type_symbol
_atom_site_fract_x
_atom_site_fract_y
_atom_site_fract_z
Sr1 Sr 0.000 0.000 0.000
Mo1 Mo 0.157 0.559 0.370
Mo2 Mo 0.377 0.418 0.749
Mo3 Mo 0.444 0.212 0.394
P1 P 0.093 0.186 0.514
P2 P 0.190 0.728 0.719
P3 P 0.280 0.392 0.088
P4 P 0.386 0.857 0.262



# SrMoP2 PBE optimized geometry
# * formation enthalpy at 0 K: 0.707 eV per atom
data_SrMoP2
_chemical_formula_sum 'Sr4 Mo4 P8'
_space_group_name_H-M_alt 'F -4 3 m'
_space_group_IT_number 216
_space_group_name_Hall 'F -4 2 3'
_cell_length_a 6.682
_cell_length_b 6.682
_cell_length_c 6.682
_cell_angle_alpha 90.00
_cell_angle_beta 90.00
_cell_angle_gamma 90.00
loop_
_atom_site_label
_atom_site_type_symbol
_atom_site_fract_x
_atom_site_fract_y
_atom_site_fract_z
Sr1 Sr 0.000 0.000 0.000
Mo1 Mo 0.250 0.250 0.750
P1 P 0.000 0.000 0.500
P2 P 0.250 0.250 0.250



# SrMoP2 PBE optimized geometry
# * formation enthalpy at 0 K: -0.553 eV per atom
data_SrMoP2
_chemical_formula_sum 'Sr3 Mo3 P6'
_space_group_name_H-M_alt 'R -3 m'
_space_group_IT_number 166
_space_group_name_Hall '-R 3 2"'
_cell_length_a 3.6764
_cell_length_b 3.6764
_cell_length_c 20.5159
_cell_angle_alpha 90.00
_cell_angle_beta 90.00
_cell_angle_gamma 120.00
loop_
_atom_site_label
_atom_site_type_symbol
_atom_site_fract_x
_atom_site_fract_y
_atom_site_fract_z
Sr1 Sr 0.0000 0.0000 0.0000
Mo1 Mo 0.0000 0.0000 0.5000
P1 P 0.0000 0.0000 0.2327



- Look up the formation enthalpy at 0 K of the fifth one.
  0.013 eV per atom